A plane-wave DFT calculation with PBE was carried out for InPS4 after structural relaxation.

Properties
* crystal system: orthorhombic
* density: 2.947 g cm⁻³
* formation energy (no corrections): -0.329 eV per atom
* total magnetization: 0.00 μB/f.u.

Cell and atoms, written as POSCAR:
```
InPS4
1.0
-5.4781 2.2043 1.2724
-2.0712 -5.6307 0.7026
2.0209 0.2815 8.2133
In P S
2 2 8
direct
0.8066 0.1934 0.7500
0.1934 0.8066 0.2500
0.6718 0.6718 0.0000
0.3282 0.3282 0.5000
0.1811 0.2307 0.2932
0.8189 0.7693 0.7932
0.2307 0.1811 0.7068
0.6638 0.2649 0.4793
0.7693 0.8189 0.2068
0.7351 0.3362 0.0207
0.2649 0.6638 0.5207
0.3362 0.7351 0.9793
```